# 1
A plane-wave DFT calculation with PBE was carried out for a geometry-optimized SrCaZn2Si2 structure.

Unit cell a=4.268 b=4.268 c=8.629 alpha=90.00 beta=90.00 gamma=120.00
Positions (direct):
1 Sr 0.000 0.000 0.000
2 Ca 0.000 0.000 0.500
3 Zn 0.333 0.667 0.267
4 Zn 0.667 0.333 0.733
5 Si 0.333 0.667 0.738
6 Si 0.667 0.333 0.262

## Properties
DOS(E_F) = 0.8 states/eV per cell
Formation energy without anion corrections = -42.7 kJ per mole of atoms
Symmetry = No. 164
VASP energy = -19.7 eV for the cell shown
Mass density = 3.8 g/cm3

# 2
A plane-wave DFT calculation with PBE was carried out for a geometry-optimized HfAuS2 structure.

Unit cell a=8.057 b=8.057 c=8.057 alpha=25.36 beta=25.36 gamma=25.36
Positions (direct):
1 Hf 0.000 0.000 0.000
2 Au 0.500 0.500 0.500
3 S 0.399 0.399 0.399
4 S 0.601 0.601 0.601

## Properties
DOS(E_F) = 1.7 states/eV per cell
Formation energy without anion corrections = -95.5 kJ per mole of atoms
Symmetry = No. 166
VASP energy = -25.4 eV for the cell shown
Mass density = 8.6 g/cm3

# 3
A plane-wave DFT calculation with PBE was carried out for a geometry-optimized U2TlCu2Se6 structure.

Unit cell a=7.390 b=7.537 c=7.621 alpha=62.81 beta=62.94 gamma=60.77
Positions (direct):
1 U 0.170 0.168 0.495
2 U 0.830 0.832 0.505
3 Tl 0.500 0.500 0.500
4 Cu 0.051 0.826 0.937
5 Cu 0.949 0.174 0.063
6 Se 0.043 0.423 0.742
7 Se 0.199 0.947 0.258
8 Se 0.416 0.808 0.744
9 Se 0.584 0.192 0.256
10 Se 0.801 0.053 0.742
11 Se 0.957 0.577 0.258

## Properties
DOS(E_F) = 9.8 states/eV per cell
Formation energy without anion corrections = -69.6 kJ per mole of atoms
Symmetry = No. 2
VASP energy = -62.0 eV for the cell shown
Mass density = 6.8 g/cm3

# 4
A plane-wave DFT calculation with PBE was carried out for a geometry-optimized MgRuAu2 structure.

Unit cell a=2.994 b=2.994 c=7.541 alpha=90.00 beta=90.00 gamma=90.00
Positions (direct):
1 Mg 0.000 0.000 0.000
2 Ru 0.000 0.000 0.500
3 Au 0.500 0.500 0.248
4 Au 0.500 0.500 0.752

## Properties
DOS(E_F) = 2.0 states/eV per cell
Symmetry = No. 123
VASP energy = -17.4 eV for the cell shown
Mass density = 12.8 g/cm3

# 5
A plane-wave DFT calculation with PBE was carried out for a geometry-optimized ZrCoH3 structure.

Unit cell a=3.246 b=4.948 c=5.619 alpha=106.36 beta=106.76 gamma=90.05
Positions (direct):
1 Zr 0.109 0.302 0.216
2 Zr 0.891 0.698 0.784
3 Co 0.343 0.136 0.686
4 Co 0.657 0.864 0.314
5 H 0.178 0.939 0.357
6 H 0.308 0.446 0.619
7 H 0.496 0.254 0.988
8 H 0.504 0.746 0.012
9 H 0.692 0.554 0.381
10 H 0.822 0.061 0.643

## Properties
DOS(E_F) = 4.8 states/eV per cell
Symmetry = No. 2
VASP energy = -54.0 eV for the cell shown
Mass density = 6.2 g/cm3

# 6
A plane-wave DFT calculation with PBE was carried out for a geometry-optimized Pr3Si2H structure.

Unit cell a=7.269 b=7.269 c=8.305 alpha=106.63 beta=106.63 gamma=48.61
Positions (direct):
1 Pr 0.024 0.976 0.750
2 Pr 0.335 0.336 0.418
3 Pr 0.336 0.335 0.918
4 Pr 0.664 0.665 0.082
5 Pr 0.665 0.664 0.582
6 Pr 0.976 0.024 0.250
7 Si 0.164 0.167 0.083
8 Si 0.167 0.164 0.583
9 Si 0.833 0.836 0.417
10 Si 0.836 0.833 0.917
11 H 0.461 0.539 0.750
12 H 0.539 0.461 0.250

## Properties
DOS(E_F) = 4.9 states/eV per cell
Symmetry = No. 15
VASP energy = -62.6 eV for the cell shown
Mass density = 5.1 g/cm3

# 7
A plane-wave DFT calculation with PBE was carried out for a geometry-optimized CuAu2Se structure.

Unit cell a=5.299 b=5.299 c=2.796 alpha=90.00 beta=90.00 gamma=116.10
Positions (direct):
1 Cu 0.000 0.000 0.000
2 Au 0.000 0.500 0.500
3 Au 0.500 0.000 0.500
4 Se 0.500 0.500 0.000

## Properties
DOS(E_F) = 1.1 states/eV per cell
Formation energy without anion corrections = 24.2 kJ per mole of atoms
Symmetry = No. 65
VASP energy = -13.1 eV for the cell shown
Mass density = 12.6 g/cm3

# 8
A plane-wave DFT calculation with PBE was carried out for a geometry-optimized Nb2GaSi structure.

Unit cell a=4.742 b=5.572 c=5.576 alpha=62.29 beta=89.87 gamma=89.94
Positions (direct):
1 Nb 0.000 0.000 0.000
2 Nb 0.002 0.532 0.467
3 Nb 0.501 0.709 0.707
4 Nb 0.503 0.242 0.176
5 Ga 0.002 0.021 0.488
6 Ga 0.501 0.220 0.689
7 Si 0.002 0.516 0.982
8 Si 0.500 0.726 0.192

## Properties
DOS(E_F) = 3.8 states/eV per cell
Formation energy without anion corrections = -20.7 kJ per mole of atoms
Symmetry = No. 1
VASP energy = -58.9 eV for the cell shown
Mass density = 7.2 g/cm3

> Which formula does entry 2 have?

HfAuS2

> The lowest mass density belongs to which entry?

SrCaZn2Si2

> What is the VASP energy in the sixth record?

-62.6 eV for the cell shown